# La3InS6, relaxed, DFT GGA-PBEsol
data_La3InS6
_cell_length_a 13.848
_cell_length_b 16.679
_cell_length_c 4.006
_cell_angle_alpha 90.00
_cell_angle_beta 90.00
_cell_angle_gamma 90.00
_space_group_name_H-M_alt 'P 21 21 2'
_space_group_IT_number 18
loop_
_space_group_symop_operation_xyz
'x,y,z'
'-x,-y,z'
'x+1/2,-y+1/2,-z'
'-x+1/2,y+1/2,-z'
loop_
_atom_site_label
_atom_site_type_symbol
_atom_site_fract_x
_atom_site_fract_y
_atom_site_fract_z
La1 La 0.044 0.221 0.250
La2 La 0.185 0.646 0.250
La3 La 0.244 0.895 0.750
In1 In 0.000 0.000 0.750
In2 In 0.000 0.500 0.751
S1 S 0.024 0.397 0.251
S2 S 0.092 0.919 0.250
S3 S 0.107 0.749 0.750
S4 S 0.116 0.111 0.750
S5 S 0.183 0.286 0.750
S6 S 0.188 0.519 0.750
# Uncorrected formation energy in eV per atom: -1.83


# LaTaInS2, relaxed, DFT GGA-PBEsol
data_LaTaInS2
_cell_length_a 4.899
_cell_length_b 4.899
_cell_length_c 5.769
_cell_angle_alpha 90.00
_cell_angle_beta 90.00
_cell_angle_gamma 90.00
_space_group_name_H-M_alt 'P 4/m m m'
_space_group_IT_number 123
_space_group_name_Hall '-P 4 2'
loop_
_atom_site_label
_atom_site_type_symbol
_atom_site_fract_x
_atom_site_fract_y
_atom_site_fract_z
La1 La 0.000 0.000 0.000
Ta1 Ta 0.500 0.500 0.000
In1 In 0.000 0.000 0.500
S1 S 0.000 0.500 0.500
# Uncorrected formation energy in eV per atom: 1.14


# La2InSb, relaxed, DFT GGA-PBEsol
data_La2InSb
_cell_length_a 4.062
_cell_length_b 4.062
_cell_length_c 7.065
_cell_angle_alpha 90.00
_cell_angle_beta 90.00
_cell_angle_gamma 90.00
_space_group_name_H-M_alt 'P 4/m m m'
_space_group_IT_number 123
_space_group_name_Hall '-P 4 2'
loop_
_atom_site_label
_atom_site_type_symbol
_atom_site_fract_x
_atom_site_fract_y
_atom_site_fract_z
La1 La 0.000 0.000 0.239
In1 In 0.500 0.500 0.500
Sb1 Sb 0.500 0.500 0.000
# Distance to the lowest polymorph of the same formula in eV/atom: 0.0025
# Uncorrected formation energy in eV per atom: -0.82


# La2InSb, relaxed, DFT GGA-PBEsol
data_La2InSb
_cell_length_a 4.406
_cell_length_b 4.830
_cell_length_c 10.858
_cell_angle_alpha 90.00
_cell_angle_beta 90.00
_cell_angle_gamma 90.00
_space_group_name_H-M_alt 'I m m 2'
_space_group_IT_number 44
loop_
_space_group_symop_operation_xyz
'x,y,z'
'-x,-y,z'
'-x,y,z'
'x,-y,z'
'x+1/2,y+1/2,z+1/2'
'-x+1/2,-y+1/2,z+1/2'
'-x+1/2,y+1/2,z+1/2'
'x+1/2,-y+1/2,z+1/2'
loop_
_atom_site_label
_atom_site_type_symbol
_atom_site_fract_x
_atom_site_fract_y
_atom_site_fract_z
La1 La 0.000 0.000 0.000
La2 La 0.000 0.500 0.241
In1 In 0.000 0.000 0.478
Sb1 Sb 0.000 0.500 0.754
# Distance to the lowest polymorph of the same formula in eV/atom: 0.0789
# Uncorrected formation energy in eV per atom: -0.74


# La2InSb, relaxed, DFT GGA-PBEsol
data_La2InSb
_cell_length_a 4.413
_cell_length_b 4.711
_cell_length_c 11.850
_cell_angle_alpha 90.00
_cell_angle_beta 90.00
_cell_angle_gamma 90.00
_space_group_name_H-M_alt 'A m m 2'
_space_group_IT_number 38
loop_
_space_group_symop_operation_xyz
'x,y,z'
'-x,-y,z'
'-x,y,z'
'x,-y,z'
'x,y+1/2,z+1/2'
'-x,-y+1/2,z+1/2'
'-x,y+1/2,z+1/2'
'x,-y+1/2,z+1/2'
loop_
_atom_site_label
_atom_site_type_symbol
_atom_site_fract_x
_atom_site_fract_y
_atom_site_fract_z
La1 La 0.000 0.000 0.000
La2 La 0.500 0.000 0.273
In1 In 0.000 0.000 0.728
Sb1 Sb 0.500 0.000 0.551
# Distance to the lowest polymorph of the same formula in eV/atom: 0.0000
# Uncorrected formation energy in eV per atom: -0.82


# La2InSb, relaxed, DFT GGA-PBEsol
data_La2InSb
_cell_length_a 4.243
_cell_length_b 4.878
_cell_length_c 6.453
_cell_angle_alpha 90.00
_cell_angle_beta 90.00
_cell_angle_gamma 90.00
_space_group_name_H-M_alt 'P m m m'
_space_group_IT_number 47
loop_
_space_group_symop_operation_xyz
'x,y,z'
'-x,-y,-z'
'-x,-y,z'
'x,y,-z'
'x,-y,-z'
'-x,y,z'
'-x,y,-z'
'x,-y,z'
loop_
_atom_site_label
_atom_site_type_symbol
_atom_site_fract_x
_atom_site_fract_y
_atom_site_fract_z
La1 La 0.000 0.000 0.000
La2 La 0.500 0.500 0.500
In1 In 0.000 0.000 0.500
Sb1 Sb 0.500 0.500 0.000
# Distance to the lowest polymorph of the same formula in eV/atom: 0.1487
# Uncorrected formation energy in eV per atom: -0.67


# LaInSbTe2, relaxed, DFT GGA-PBEsol
data_LaInSbTe2
_cell_length_a 6.036
_cell_length_b 6.036
_cell_length_c 5.975
_cell_angle_alpha 90.00
_cell_angle_beta 90.00
_cell_angle_gamma 90.00
_space_group_name_H-M_alt 'P 4/m m m'
_space_group_IT_number 123
_space_group_name_Hall '-P 4 2'
loop_
_atom_site_label
_atom_site_type_symbol
_atom_site_fract_x
_atom_site_fract_y
_atom_site_fract_z
La1 La 0.000 0.000 0.000
In1 In 0.500 0.500 0.500
Sb1 Sb 0.000 0.000 0.500
Te1 Te 0.000 0.500 0.000
# Uncorrected formation energy in eV per atom: 0.03


# La2ScIn, relaxed, DFT GGA-PBEsol
data_La2ScIn
_cell_length_a 4.721
_cell_length_b 4.721
_cell_length_c 9.951
_cell_angle_alpha 90.00
_cell_angle_beta 90.00
_cell_angle_gamma 90.00
_space_group_name_H-M_alt 'I 4/m m m'
_space_group_IT_number 139
_space_group_name_Hall '-I 4 2'
loop_
_atom_site_label
_atom_site_type_symbol
_atom_site_fract_x
_atom_site_fract_y
_atom_site_fract_z
La1 La 0.000 0.500 0.250
Sc1 Sc 0.000 0.000 0.000
In1 In 0.000 0.000 0.500
# Energy relative to the elements in eV per atom: -0.27